First-principles (PBE-GGA) data for KTlSn after structural relaxation, as listed in the Alexandria database.

Results
SG ... No. 44
Magnetization ... 0.000 μB per atom
E_form ... -0.168 eV per atom
Total DFT energy (no corrections) ... -2.66 eV/atom

The structure in POSCAR format:
```
KTlSn
1.0
-2.6957 4.3696 4.3597
2.6957 -4.3696 4.3597
2.6957 4.3696 -4.3597
K Tl Sn
2 2 2
Direct
0.0000 0.0000 0.0000
0.6292 0.1292 0.5000
0.2331 0.4088 0.8244
0.5844 0.4088 0.1756
0.0567 0.7269 0.3297
0.3972 0.7269 0.6703
```